# Ho3Cd2Pd4

A relaxed structure of Ho3Cd2Pd4 (PBE, Alexandria).

Values from the calculation:
The calculation puts the final energy at -42.64 eV for the cell shown. The value obtained for the density of states at the Fermi level is 0.416 states/eV/atom.

Cell: 5.2916 5.2916 9.1295 Å, 90.35 90.35 49.15°
With the nearest neighbours (Å) after each atom.
Fractional positions:
Ho (0.0000, 0.0000, 0.0000)  6 Pd 3.00-3.03
Ho (0.3672, 0.3672, 0.6119)  6 Pd 2.82-3.14
Ho (0.6328, 0.6328, 0.3881)  6 Pd 2.82-3.14
Cd (0.3326, 0.3326, 0.2174)  5 Pd 2.77-2.80
Cd (0.6674, 0.6674, 0.7826)  5 Pd 2.77-2.80
Pd (0.0748, 0.0748, 0.6254)  1 Pd 2.70, 2 Cd 2.77, 3 Ho 2.82-2.97
Pd (0.2995, 0.2995, 0.9126)  3 Cd 2.80, 4 Ho 2.83-3.03, 2 Pd 2.88
Pd (0.7005, 0.7005, 0.0874)  3 Cd 2.80, 4 Ho 2.83-3.03, 2 Pd 2.88
Pd (0.9252, 0.9252, 0.3746)  1 Pd 2.70, 2 Cd 2.77, 3 Ho 2.82-2.97


# FeIr8

A relaxed structure of FeIr8 (PBE, Alexandria).

Values from the calculation:
The calculation puts the final energy at -76.65 eV for the cell shown. The value obtained for the density of states at the Fermi level is 1.201 states/eV/atom.

Cell: 2.7098 7.5140 7.7929 Å, 118.49 99.35 91.32°
With the nearest neighbours (Å) after each atom.
Fractional positions:
Fe (0.0000, 0.0000, 0.0000)  6 Ir 2.43-2.69, 2 Fe 2.71
Ir (0.0119, 0.6773, 0.0001)  1 Fe 2.43, 5 Ir 2.58-2.71
Ir (0.1669, 0.3518, 0.3483)  9 Ir 2.58-2.82, 1 Fe 2.69
Ir (0.1809, 0.9968, 0.3481)  9 Ir 2.58-2.82, 1 Fe 2.69
Ir (0.3551, 0.3531, 0.7069)  12 Ir 2.71-2.82
Ir (0.6449, 0.6469, 0.2931)  12 Ir 2.71-2.82
Ir (0.8191, 0.0032, 0.6519)  9 Ir 2.58-2.82, 1 Fe 2.69
Ir (0.8331, 0.6482, 0.6517)  9 Ir 2.58-2.82, 1 Fe 2.69
Ir (0.9881, 0.3227, 0.9999)  1 Fe 2.43, 5 Ir 2.58-2.71